Entry 1:
First-principles (PBE) data for a relaxed AlCrAs2 crystal, as listed in Alexandria.

Calculated values
- DOS at the Fermi energy: 0.3873 states/eV/atom
- Magnetization: 3.00 μB/f.u.
- SG: I-42d, No. 122
- DFT formation energy: -0.21 eV per formula unit

Lattice parameters (Å, degrees): 5.749 5.749 6.933 65.51 65.51 90.00
Atoms (fractional coordinates):
Al1 0.500 0.500 0.000
Cr1 0.750 0.250 0.500
As1 0.630 0.125 0.250
As2 0.375 0.370 0.750
As3 0.875 0.880 0.750
Cr2 0.000 0.000 0.000
Al2 0.250 0.750 0.500
As4 0.120 0.625 0.250

Entry 2:
First-principles (PBE) data for a relaxed AlCr2As2 crystal, as listed in Alexandria.

Calculated values
- DOS at the Fermi energy: 0.7989 states/eV/atom
- Magnetization: 2.49 μB/f.u.
- SG: I4/mmm, No. 139
- Energy relative to the lowest polymorph listed for this composition: 210 meV per atom
- DFT formation energy: 1.49 eV per formula unit

Lattice parameters (Å, degrees): 3.665 3.665 6.445 73.48 73.48 90.00
Atoms (fractional coordinates):
Al1 0.000 0.000 0.000
As1 0.750 0.250 0.500
As2 0.250 0.750 0.500
Cr1 0.605 0.605 0.791
Cr2 0.395 0.395 0.209